(1)
## YIn2Pb (PBE)

Data for an optimized crystal structure of YIn2Pb.

a b c (Å): 3.522 3.522 9.035
angles (deg): 90.00 90.00 89.94
Fractional positions:
Pb (0.500, 0.500, 0.250)
Y (0.500, 0.500, 0.750)
In (0.000, 0.000, 0.986)
In (0.000, 0.000, 0.514)

## Properties
VASP energy (eV per atom): -4.086
Total magnetization (μB per atom): 0.014
Fermi-level density of states (states/eV/f.u.): 2.13
Theoretical density (Mg/m³): 7.79
Formation enthalpy at 0 K (meV per atom): -174
Symmetry: P4/mmm



(2)
## Y3InPb2 (PBE)

Data for an optimized crystal structure of Y3InPb2.

a b c (Å): 4.714 11.656 12.624
angles (deg): 90.00 90.00 90.00
Fractional positions:
Y (0.750, 0.182, 0.298)
Y (0.250, 0.682, 0.202)
Y (0.750, 0.923, 0.141)
Y (0.250, 0.818, 0.702)
Y (0.250, 0.423, 0.359)
Y (0.750, 0.577, 0.641)
Y (0.750, 0.876, 0.466)
Y (0.250, 0.376, 0.034)
Y (0.750, 0.318, 0.798)
Y (0.250, 0.077, 0.859)
Y (0.250, 0.124, 0.534)
Y (0.750, 0.624, 0.966)
In (0.250, 0.362, 0.648)
In (0.750, 0.862, 0.852)
In (0.250, 0.138, 0.148)
In (0.750, 0.638, 0.352)
Pb (0.750, 0.037, 0.679)
Pb (0.250, 0.537, 0.821)
Pb (0.250, 0.963, 0.321)
Pb (0.750, 0.463, 0.179)
Pb (0.250, 0.674, 0.497)
Pb (0.250, 0.826, 0.997)
Pb (0.750, 0.174, 0.003)
Pb (0.750, 0.326, 0.503)

## Properties
VASP energy (eV per atom): -5.349
Total magnetization (μB per atom): 0.000
Fermi-level density of states (states/eV/f.u.): 3.64
Theoretical density (Mg/m³): 7.62
Formation enthalpy at 0 K (meV per atom): -425
Symmetry: Pnma



(3)
## YIn2Pb (PBE)

Data for an optimized crystal structure of YIn2Pb.

a b c (Å): 7.445 5.730 3.578
angles (deg): 90.39 60.59 119.76
Fractional positions:
Pb (0.000, 0.500, 0.500)
Y (0.500, 0.500, 0.000)
In (0.500, 0.000, 0.500)
In (0.000, 0.000, 0.000)

## Properties
VASP energy (eV per atom): -4.186
Total magnetization (μB per atom): 0.000
Fermi-level density of states (states/eV/f.u.): 1.91
Theoretical density (Mg/m³): 7.96
Formation enthalpy at 0 K (meV per atom): -274
Symmetry: C2/m



(4)
## YInPb2 (PBE)

Data for an optimized crystal structure of YInPb2.

a b c (Å): 4.157 4.157 6.661
angles (deg): 90.00 90.00 90.00
Fractional positions:
Pb (0.000, 0.000, 0.751)
Pb (0.000, 0.000, 0.249)
In (0.500, 0.500, 0.500)
Y (0.500, 0.500, 0.000)

## Properties
VASP energy (eV per atom): -4.374
Total magnetization (μB per atom): 0.000
Fermi-level density of states (states/eV/f.u.): 4.39
Theoretical density (Mg/m³): 8.92
Formation enthalpy at 0 K (meV per atom): -219
Symmetry: P4/mmm



(5)
## Y5In4Pb (PBE)

Data for an optimized crystal structure of Y5In4Pb.

a b c (Å): 3.623 3.623 20.613
angles (deg): 90.00 90.00 90.00
Fractional positions:
In (0.000, 0.000, 0.796)
In (0.000, 0.000, 0.402)
In (0.000, 0.000, 0.598)
In (0.000, 0.000, 0.204)
Y (0.500, 0.500, 0.303)
Y (0.500, 0.500, 0.500)
Y (0.500, 0.500, 0.104)
Y (0.500, 0.500, 0.896)
Y (0.500, 0.500, 0.697)
Pb (0.000, 0.000, 0.000)

## Properties
VASP energy (eV per atom): -5.179
Total magnetization (μB per atom): 0.000
Fermi-level density of states (states/eV/f.u.): 7.23
Theoretical density (Mg/m³): 6.82
Formation enthalpy at 0 K (meV per atom): -481
Symmetry: P4/mmm



(6)
## YIn2Pb (PBE)

Data for an optimized crystal structure of YIn2Pb.

a b c (Å): 5.417 5.417 5.417
angles (deg): 60.00 60.00 60.00
Fractional positions:
Y (0.750, 0.750, 0.750)
In (0.250, 0.250, 0.250)
In (0.000, 0.000, 0.000)
Pb (0.500, 0.500, 0.500)

## Properties
VASP energy (eV per atom): -4.035
Total magnetization (μB per atom): 0.000
Fermi-level density of states (states/eV/f.u.): 2.60
Theoretical density (Mg/m³): 7.77
Formation enthalpy at 0 K (meV per atom): -122
Symmetry: F-43m



(7)
## YInPb2 (PBE)

Data for an optimized crystal structure of YInPb2.

a b c (Å): 3.472 3.472 9.687
angles (deg): 90.00 90.00 90.01
Fractional positions:
Pb (0.500, 0.500, 0.263)
Pb (0.000, 0.000, 0.984)
Y (0.000, 0.000, 0.512)
In (0.500, 0.500, 0.741)

## Properties
VASP energy (eV per atom): -4.316
Total magnetization (μB per atom): 0.081
Fermi-level density of states (states/eV/f.u.): 2.66
Theoretical density (Mg/m³): 8.79
Formation enthalpy at 0 K (meV per atom): -161
Symmetry: P4mm



(8)
## YInPb2 (PBE)

Data for an optimized crystal structure of YInPb2.

a b c (Å): 4.255 4.255 6.398
angles (deg): 90.00 90.00 90.00
Fractional positions:
Y (0.000, 0.000, 0.492)
Pb (0.500, 0.500, 0.267)
Pb (0.000, 0.000, 0.991)
In (0.500, 0.500, 0.751)

## Properties
VASP energy (eV per atom): -4.356
Total magnetization (μB per atom): 0.000
Fermi-level density of states (states/eV/f.u.): 4.16
Theoretical density (Mg/m³): 8.86
Formation enthalpy at 0 K (meV per atom): -201
Symmetry: P4mm